A relaxed Cd5In5Sn2 crystal, computed with PBE.

Final energy = -2.1447 eV/atom
Calculated formation energy = 0.045 eV/atom

a b c (Å): 7.2241 7.2241 9.8309
angles (deg): 114.72 114.72 42.46
Closest atoms and distances in Å follow each position.
Positions (direct):
Cd 0.0000 0.0000 0.0000  2 Cd 3.11, 2 Sn 3.23, 8 In 3.42-3.46
Cd 0.1647 0.1647 0.4925  1 Cd 3.00, 2 Sn 3.07-3.19, 1 In 3.12
Cd 0.2446 0.2446 0.2530  2 Cd 3.00-3.11, 4 In 3.09-3.32
Cd 0.7554 0.7554 0.7470  2 Cd 3.00-3.11, 4 In 3.09-3.32
Cd 0.8353 0.8353 0.5075  1 Cd 3.00, 2 Sn 3.07-3.19, 1 In 3.12
In 0.3375 0.3375 0.0174  1 Cd 3.09, 4 In 3.15-3.43, 3 Sn 3.18-3.34
In 0.4084 0.4084 0.7491  7 Cd 3.12-3.42, 3 In 3.15-3.20
In 0.5000 0.5000 0.5000  2 In 3.20, 6 Cd 3.20-3.45, 4 Sn 3.40
In 0.5916 0.5916 0.2509  7 Cd 3.12-3.42, 3 In 3.15-3.20
In 0.6625 0.6625 0.9826  1 Cd 3.09, 4 In 3.15-3.43, 3 Sn 3.18-3.34
Sn 0.0915 0.0915 0.7471  5 Cd 3.07-3.42, 5 In 3.18-3.40
Sn 0.9085 0.9085 0.2529  5 Cd 3.07-3.42, 5 In 3.18-3.40